[1]
# CaPr2AgO5, optimized geometry, DFT PBE-GGA
# VASP energy (eV per atom): -6.63
# Calculated density (g/cm³): 6.08
# Total magnetization (μB/f.u.): 1.017
data_CaPr2AgO5
_symmetry_space_group_name_H-M 'P 4/m b m'
_symmetry_Int_Tables_number 127
_symmetry_space_group_name_Hall '-P 4 2ab'
_cell_length_a 6.769
_cell_length_b 6.769
_cell_length_c 6.079
_cell_angle_alpha 90.00
_cell_angle_beta 90.00
_cell_angle_gamma 90.00
loop_
_atom_site_label
_atom_site_fract_x
_atom_site_fract_y
_atom_site_fract_z
Ca1 0.000 0.000 0.000
Pr1 0.170 0.330 0.500
Ag1 0.000 0.500 0.000
O1 0.000 0.000 0.500
O2 0.153 0.653 0.247

---

[2]
# LaAlSiAg2, optimized geometry, DFT PBE-GGA
# VASP energy (eV per atom): -2.80
# Calculated density (g/cm³): 3.72
# Total magnetization (μB/f.u.): 0.000
data_LaAlSiAg2
_symmetry_space_group_name_H-M 'P 4/m m m'
_symmetry_Int_Tables_number 123
_symmetry_space_group_name_Hall '-P 4 2'
_cell_length_a 5.785
_cell_length_b 5.785
_cell_length_c 5.470
_cell_angle_alpha 90.00
_cell_angle_beta 90.00
_cell_angle_gamma 90.00
loop_
_atom_site_label
_atom_site_fract_x
_atom_site_fract_y
_atom_site_fract_z
La1 0.000 0.000 0.000
Al1 0.500 0.500 0.500
Si1 0.000 0.000 0.500
Ag1 0.000 0.500 0.000

---

[3]
# LaTlW2, optimized geometry, DFT PBE-GGA
# Formation enthalpy at 0 K (eV per atom): 1.190
# Calculated density (g/cm³): 14.40
# Energy above the most stable polymorph in this dataset (meV/atom): 853
# Total magnetization (μB/f.u.): 0.000
data_LaTlW2
_symmetry_space_group_name_H-M 'F m -3 m'
_symmetry_Int_Tables_number 225
_symmetry_space_group_name_Hall '-F 4 2 3'
_cell_length_a 6.896
_cell_length_b 6.896
_cell_length_c 6.896
_cell_angle_alpha 90.00
_cell_angle_beta 90.00
_cell_angle_gamma 90.00
loop_
_atom_site_label
_atom_site_fract_x
_atom_site_fract_y
_atom_site_fract_z
La1 0.000 0.000 0.000
Tl1 0.000 0.000 0.500
W1 0.250 0.250 0.250

---

[4]
# Ca2MgIF, optimized geometry, DFT PBE-GGA
# VASP energy (eV per atom): -1.96
# Calculated density (g/cm³): 1.74
# Total magnetization (μB/f.u.): 0.938
data_Ca2MgIF
_symmetry_space_group_name_H-M 'P 4/m m m'
_symmetry_Int_Tables_number 123
_symmetry_space_group_name_Hall '-P 4 2'
_cell_length_a 5.939
_cell_length_b 5.939
_cell_length_c 6.764
_cell_angle_alpha 90.00
_cell_angle_beta 90.00
_cell_angle_gamma 90.00
loop_
_atom_site_label
_atom_site_fract_x
_atom_site_fract_y
_atom_site_fract_z
Ca1 0.000 0.500 0.000
Mg1 0.000 0.000 0.500
I1 0.000 0.000 0.000
F1 0.500 0.500 0.500

---

[5]
# Rb2BaPdCl6, optimized geometry, DFT PBE-GGA
# VASP energy (eV per atom): -3.60
# Calculated density (g/cm³): 2.88
# Total magnetization (μB/f.u.): 0.000
data_Rb2BaPdCl6
_symmetry_space_group_name_H-M 'I 4/m m m'
_symmetry_Int_Tables_number 139
_symmetry_space_group_name_Hall '-I 4 2'
_cell_length_a 7.488
_cell_length_b 7.488
_cell_length_c 12.891
_cell_angle_alpha 90.00
_cell_angle_beta 90.00
_cell_angle_gamma 90.00
loop_
_atom_site_label
_atom_site_fract_x
_atom_site_fract_y
_atom_site_fract_z
Rb1 0.000 0.500 0.250
Ba1 0.000 0.000 0.000
Pd1 0.000 0.000 0.500
Cl1 0.000 0.000 0.232
Cl2 0.219 0.219 0.500

---

[6]
# MnZn2CoH, optimized geometry, DFT PBE-GGA
# Calculated density (g/cm³): 7.55
# Energy above the most stable polymorph in this dataset (meV/atom): 0
# Total magnetization (μB/f.u.): 3.960
data_MnZn2CoH
_symmetry_space_group_name_H-M 'P 4/m m m'
_symmetry_Int_Tables_number 123
_symmetry_space_group_name_Hall '-P 4 2'
_cell_length_a 3.911
_cell_length_b 3.911
_cell_length_c 3.533
_cell_angle_alpha 90.00
_cell_angle_beta 90.00
_cell_angle_gamma 90.00
loop_
_atom_site_label
_atom_site_fract_x
_atom_site_fract_y
_atom_site_fract_z
Mn1 0.000 0.000 0.000
Zn1 0.000 0.500 0.500
Co1 0.500 0.500 0.000
H1 0.000 0.000 0.500

---

[7]
# Pm12Ge6Ir, optimized geometry, DFT PBE-GGA
# Formation enthalpy at 0 K (eV per atom): -0.544
# Calculated density (g/cm³): 6.62
# Total magnetization (μB/f.u.): 0.000
data_Pm12Ge6Ir
_symmetry_space_group_name_H-M 'R -3'
_symmetry_Int_Tables_number 148
_symmetry_space_group_name_Hall '-R 3'
_cell_length_a 13.0565
_cell_length_b 13.0565
_cell_length_c 12.0727
_cell_angle_alpha 90.00
_cell_angle_beta 90.00
_cell_angle_gamma 120.00
loop_
_atom_site_label
_atom_site_fract_x
_atom_site_fract_y
_atom_site_fract_z
Pm1 0.0326 0.8270 0.3921
Pm2 0.0473 0.8423 0.8849
Ge1 0.0467 0.7765 0.6484
Ir1 0.0000 0.0000 0.0000

---

[8]
# KNbFeN3, optimized geometry, DFT PBE-GGA
# VASP energy (eV per atom): -7.85
# Calculated density (g/cm³): 4.10
# Total magnetization (μB/f.u.): 0.597
data_KNbFeN3
_symmetry_space_group_name_H-M 'P 1 21/m 1'
_symmetry_Int_Tables_number 11
_symmetry_space_group_name_Hall '-P 2yb'
_cell_length_a 7.408
_cell_length_b 3.243
_cell_length_c 8.255
_cell_angle_alpha 90.00
_cell_angle_beta 110.22
_cell_angle_gamma 90.00
loop_
_atom_site_label
_atom_site_fract_x
_atom_site_fract_y
_atom_site_fract_z
K1 0.214 0.250 0.234
Nb1 0.331 0.750 0.879
Fe1 0.084 0.250 0.601
N1 0.147 0.250 0.843
N2 0.168 0.750 0.554
N3 0.457 0.750 0.126